Entry from the Alexandria database: an optimized crystal structure of SbTeN2O (PBE).

a = 3.850 Å, b = 3.850 Å, c = 6.521 Å
α = 90.00°, β = 90.00°, γ = 90.00°
Element x y z (fractional)
Sb (0.000, 0.000, 0.000)
Te (0.000, 0.000, 0.500)
N (0.000, 0.500, 0.000)
N (0.500, 0.000, 0.000)
O (0.500, 0.500, 0.500)

Properties
E = -4.3426 eV per atom
SG = P4/mmm (123)

Entry from the Alexandria database: an optimized crystal structure of Re2SeBr (PBE).

a = 4.807 Å, b = 4.807 Å, c = 4.807 Å
α = 127.70°, β = 127.70°, γ = 77.11°
Element x y z (fractional)
Re (0.000, 0.000, 0.000)
Re (0.750, 0.250, 0.500)
Se (0.250, 0.750, 0.500)
Br (0.500, 0.500, 0.000)

Properties
excess energy over the best structure of this formula in the dataset = 4.69 eV per formula unit
SG = I-4m2 (119)

Entry from the Alexandria database: an optimized crystal structure of K2RbMgZr (PBE).

a = 6.861 Å, b = 6.861 Å, c = 6.993 Å
α = 90.00°, β = 90.00°, γ = 90.00°
Element x y z (fractional)
K (0.000, 0.500, 0.000)
K (0.500, 0.000, 0.000)
Rb (0.000, 0.000, 0.500)
Mg (0.500, 0.500, 0.500)
Zr (0.000, 0.000, 0.000)

Properties
E = -1.5191 eV per atom
SG = P4/mmm (123)

Entry from the Alexandria database: an optimized crystal structure of PrNd4Ru2 (PBE).

a = 7.998 Å, b = 6.703 Å, c = 8.048 Å
α = 90.00°, β = 112.64°, γ = 90.00°
Element x y z (fractional)
Pr (0.026, 0.250, 0.163)
Pr (0.974, 0.750, 0.837)
Nd (0.244, 0.502, 0.587)
Nd (0.244, 0.998, 0.587)
Nd (0.321, 0.750, 0.243)
Nd (0.376, 0.250, 0.021)
Nd (0.624, 0.750, 0.979)
Nd (0.679, 0.250, 0.757)
Nd (0.756, 0.002, 0.413)
Nd (0.756, 0.498, 0.413)
Ru (0.016, 0.250, 0.739)
Ru (0.408, 0.250, 0.370)
Ru (0.592, 0.750, 0.630)
Ru (0.984, 0.750, 0.261)

Properties
E = -6.1594 eV per atom
SG = P2_1/m (11)

Entry from the Alexandria database: an optimized crystal structure of TaSi5 (PBE).

a = 4.814 Å, b = 4.814 Å, c = 4.512 Å
α = 90.00°, β = 90.00°, γ = 120.00°
Element x y z (fractional)
Ta (0.000, 0.000, 0.000)
Si (0.000, 0.500, 0.500)
Si (0.333, 0.667, 0.000)
Si (0.500, 0.000, 0.500)
Si (0.500, 0.500, 0.500)
Si (0.667, 0.333, 0.000)

Properties
excess energy over the best structure of this formula in the dataset = 2.54 eV per formula unit
SG = P6/mmm (191)

Entry from the Alexandria database: an optimized crystal structure of Sr2LiH6Pt (PBE).

a = 5.413 Å, b = 5.413 Å, c = 4.843 Å
α = 90.00°, β = 90.00°, γ = 120.00°
Element x y z (fractional)
Sr (0.333, 0.667, 0.237)
Sr (0.667, 0.333, 0.763)
Li (0.000, 0.000, 0.500)
H (0.158, 0.315, 0.774)
H (0.158, 0.842, 0.774)
H (0.315, 0.158, 0.226)
H (0.685, 0.842, 0.774)
H (0.842, 0.158, 0.226)
H (0.842, 0.685, 0.226)
Pt (0.000, 0.000, 0.000)

Properties
E = -3.5608 eV per atom
SG = P-3m1 (164)